# 1
Crystalline NaCa2HgPt at its relaxed geometry, computed with PBE-GGA.

```
data_NaCa2HgPt
_cell_length_a 5.5393
_cell_length_b 5.5393
_cell_length_c 5.3556
_cell_angle_alpha 90.00
_cell_angle_beta 90.00
_cell_angle_gamma 90.00
_space_group_name_H-M_alt 'P 4/m m m'
_space_group_IT_number 123
_space_group_name_Hall '-P 4 2'
loop_
_atom_site_label
_atom_site_fract_x
_atom_site_fract_y
_atom_site_fract_z
Na1 0.0000 0.0000 0.0000
Ca1 0.0000 0.5000 0.5000
Hg1 0.5000 0.5000 0.0000
Pt1 0.5000 0.5000 0.5000
```

Energy of formation from the pure elements in eV/atom: -0.402

---

# 2
Crystalline NaCaRe2Hg at its relaxed geometry, computed with PBE-GGA.

```
data_NaCaRe2Hg
_cell_length_a 4.8306
_cell_length_b 4.8306
_cell_length_c 4.8764
_cell_angle_alpha 90.00
_cell_angle_beta 90.00
_cell_angle_gamma 90.00
_space_group_name_H-M_alt 'P 4/m m m'
_space_group_IT_number 123
_space_group_name_Hall '-P 4 2'
loop_
_atom_site_label
_atom_site_fract_x
_atom_site_fract_y
_atom_site_fract_z
Na1 0.0000 0.0000 0.0000
Ca1 0.0000 0.0000 0.5000
Re1 0.0000 0.5000 0.5000
Hg1 0.5000 0.5000 0.0000
```

Energy of formation from the pure elements in eV/atom: 2.423

---

# 3
Crystalline NaCaHgRh at its relaxed geometry, computed with PBE-GGA.

```
data_NaCaHgRh
_cell_length_a 6.9523
_cell_length_b 6.9523
_cell_length_c 6.9523
_cell_angle_alpha 90.00
_cell_angle_beta 90.00
_cell_angle_gamma 90.00
_space_group_name_H-M_alt 'F -4 3 m'
_space_group_IT_number 216
_space_group_name_Hall 'F -4 2 3'
loop_
_atom_site_label
_atom_site_fract_x
_atom_site_fract_y
_atom_site_fract_z
Na1 0.0000 0.0000 0.0000
Ca1 0.2500 0.2500 0.7500
Hg1 0.2500 0.2500 0.2500
Rh1 0.0000 0.0000 0.5000
```

Energy of formation from the pure elements in eV/atom: -0.165

---

# 4
Crystalline NaCaHgRu2 at its relaxed geometry, computed with PBE-GGA.

```
data_NaCaHgRu2
_cell_length_a 4.8398
_cell_length_b 4.8398
_cell_length_c 5.0229
_cell_angle_alpha 90.00
_cell_angle_beta 90.00
_cell_angle_gamma 90.00
_space_group_name_H-M_alt 'P 4/m m m'
_space_group_IT_number 123
_space_group_name_Hall '-P 4 2'
loop_
_atom_site_label
_atom_site_fract_x
_atom_site_fract_y
_atom_site_fract_z
Na1 0.0000 0.0000 0.0000
Ca1 0.0000 0.0000 0.5000
Hg1 0.5000 0.5000 0.0000
Ru1 0.0000 0.5000 0.5000
```

Energy of formation from the pure elements in eV/atom: 1.545

---

# 5
Crystalline NaCaHgS2 at its relaxed geometry, computed with PBE-GGA.

```
data_NaCaHgS2
_cell_length_a 7.1911
_cell_length_b 6.3138
_cell_length_c 7.4110
_cell_angle_alpha 90.00
_cell_angle_beta 92.09
_cell_angle_gamma 90.00
_space_group_name_H-M_alt 'P 1 2/c 1'
_space_group_IT_number 13
loop_
_space_group_symop_operation_xyz
'x,y,z'
'-x,-y,-z'
'-x,y,-z+1/2'
'x,-y,z+1/2'
loop_
_atom_site_label
_atom_site_fract_x
_atom_site_fract_y
_atom_site_fract_z
Na1 0.0000 0.0331 0.2500
Ca1 0.5000 0.0119 0.7500
Hg1 0.5000 0.5000 0.0000
S1 0.2602 0.1666 0.9978
```

Energy relative to the elements, uncorrected in eV per atom: -0.90

---

# 6
Crystalline Na2CaHgSb2 at its relaxed geometry, computed with PBE-GGA.

```
data_Na2CaHgSb2
_cell_length_a 4.6984
_cell_length_b 9.2204
_cell_length_c 7.8889
_cell_angle_alpha 90.00
_cell_angle_beta 90.00
_cell_angle_gamma 90.00
_space_group_name_H-M_alt 'P m c 21'
_space_group_IT_number 26
loop_
_space_group_symop_operation_xyz
'x,y,z'
'-x,-y,z+1/2'
'-x,y,z'
'x,-y,z+1/2'
loop_
_atom_site_label
_atom_site_fract_x
_atom_site_fract_y
_atom_site_fract_z
Na1 0.0000 0.0783 0.0000
Na2 0.5000 0.1735 0.3168
Ca1 0.5000 0.4444 0.9377
Hg1 0.0000 0.3069 0.5946
Sb1 0.0000 0.3821 0.2201
Sb2 0.5000 0.1539 0.7171
```

Energy relative to the elements, uncorrected in eV per atom: -0.55

---

# 7
Crystalline Na2CaScHg at its relaxed geometry, computed with PBE-GGA.

```
data_Na2CaScHg
_cell_length_a 5.5572
_cell_length_b 5.5572
_cell_length_c 5.9173
_cell_angle_alpha 90.00
_cell_angle_beta 90.00
_cell_angle_gamma 90.00
_space_group_name_H-M_alt 'P 4/m m m'
_space_group_IT_number 123
_space_group_name_Hall '-P 4 2'
loop_
_atom_site_label
_atom_site_fract_x
_atom_site_fract_y
_atom_site_fract_z
Na1 0.0000 0.5000 0.0000
Ca1 0.0000 0.0000 0.5000
Sc1 0.5000 0.5000 0.5000
Hg1 0.0000 0.0000 0.0000
```

Energy of formation from the pure elements in eV/atom: 0.379

---

# 8
Crystalline NaCaHgSe2 at its relaxed geometry, computed with PBE-GGA.

```
data_NaCaHgSe2
_cell_length_a 4.8902
_cell_length_b 7.3204
_cell_length_c 7.8256
_cell_angle_alpha 90.00
_cell_angle_beta 90.00
_cell_angle_gamma 90.00
_space_group_name_H-M_alt 'P c c m'
_space_group_IT_number 49
loop_
_space_group_symop_operation_xyz
'x,y,z'
'-x,-y,-z'
'-x,-y,z'
'x,y,-z'
'x,-y,-z+1/2'
'-x,y,z+1/2'
'-x,y,-z+1/2'
'x,-y,z+1/2'
loop_
_atom_site_label
_atom_site_fract_x
_atom_site_fract_y
_atom_site_fract_z
Na1 0.0000 0.0000 0.2500
Ca1 0.5000 0.5000 0.2500
Hg1 0.5000 0.0000 0.0000
Se1 0.1542 0.3117 0.0000
```

Energy relative to the elements, uncorrected in eV per atom: -0.92

---

# 9
Crystalline NaCaSi2Hg at its relaxed geometry, computed with PBE-GGA.

```
data_NaCaSi2Hg
_cell_length_a 5.2422
_cell_length_b 5.2422
_cell_length_c 5.5499
_cell_angle_alpha 90.00
_cell_angle_beta 90.00
_cell_angle_gamma 90.00
_space_group_name_H-M_alt 'P 4/m m m'
_space_group_IT_number 123
_space_group_name_Hall '-P 4 2'
loop_
_atom_site_label
_atom_site_fract_x
_atom_site_fract_y
_atom_site_fract_z
Na1 0.0000 0.0000 0.0000
Ca1 0.5000 0.5000 0.0000
Si1 0.0000 0.5000 0.5000
Hg1 0.5000 0.5000 0.5000
```

Energy relative to the elements, uncorrected in eV per atom: 0.58

---

# 10
Crystalline NaCaSm2Hg4 at its relaxed geometry, computed with PBE-GGA.

```
data_NaCaSm2Hg4
_cell_length_a 5.2998
_cell_length_b 5.2998
_cell_length_c 25.9860
_cell_angle_alpha 90.00
_cell_angle_beta 90.00
_cell_angle_gamma 120.00
_space_group_name_H-M_alt 'R -3 m'
_space_group_IT_number 166
_space_group_name_Hall '-R 3 2"'
loop_
_atom_site_label
_atom_site_fract_x
_atom_site_fract_y
_atom_site_fract_z
Na1 0.0000 0.0000 0.0000
Ca1 0.0000 0.0000 0.5000
Sm1 0.0000 0.0000 0.2522
Hg1 0.0000 0.0000 0.1249
Hg2 0.0000 0.0000 0.3752
```

Energy of formation from the pure elements in eV/atom: -0.446

---

# 11
Crystalline Na2CaSn2Hg2 at its relaxed geometry, computed with PBE-GGA.

```
data_Na2CaSn2Hg2
_cell_length_a 5.0844
_cell_length_b 5.0844
_cell_length_c 24.2574
_cell_angle_alpha 90.00
_cell_angle_beta 90.00
_cell_angle_gamma 120.00
_space_group_name_H-M_alt 'R -3 m'
_space_group_IT_number 166
_space_group_name_Hall '-R 3 2"'
loop_
_atom_site_label
_atom_site_fract_x
_atom_site_fract_y
_atom_site_fract_z
Na1 0.0000 0.0000 0.1455
Ca1 0.0000 0.0000 0.0000
Sn1 0.0000 0.0000 0.4184
Hg1 0.0000 0.0000 0.2780
```

Energy of formation from the pure elements in eV/atom: -0.302

---

# 12
Crystalline NaCaSnHg at its relaxed geometry, computed with PBE-GGA.

```
data_NaCaSnHg
_cell_length_a 7.5394
_cell_length_b 7.5394
_cell_length_c 7.5394
_cell_angle_alpha 90.00
_cell_angle_beta 90.00
_cell_angle_gamma 90.00
_space_group_name_H-M_alt 'F -4 3 m'
_space_group_IT_number 216
_space_group_name_Hall 'F -4 2 3'
loop_
_atom_site_label
_atom_site_fract_x
_atom_site_fract_y
_atom_site_fract_z
Na1 0.0000 0.0000 0.0000
Ca1 0.0000 0.0000 0.5000
Sn1 0.2500 0.2500 0.2500
Hg1 0.2500 0.2500 0.7500
```

Energy of formation from the pure elements in eV/atom: -0.389